Entry 1:
Density functional theory data (PBE) for a relaxed RbLi2Be crystal.

Cell lengths 9.4486, 9.4486, 9.4486 Å; angles 145.06, 145.06, 50.24 degrees
Fractional coordinates of all 8 atoms:
Rb 0.0000 0.0000 0.0000
Rb 0.7500 0.2500 0.5000
Li 0.3737 0.6250 0.2487
Li 0.3750 0.6237 0.7487
Li 0.3763 0.1250 0.7513
Li 0.8750 0.6263 0.2513
Be 0.2500 0.7500 0.5000
Be 0.5000 0.5000 0.0000

Values from the calculation:
As for the space group: I-42d. The total moment comes out at 0.0 μB per formula unit. The energy of formation is 240 kJ/mol of formula units. The crystal system is tetragonal.

---

Entry 2:
Density functional theory data (PBE) for a relaxed RbLiBe2 crystal.

Cell lengths 10.0524, 10.0524, 10.0524 Å; angles 153.71, 153.71, 37.52 degrees
Fractional coordinates of all 8 atoms:
Rb 0.3750 0.6250 0.7500
Rb 0.6250 0.3750 0.2500
Li 0.1250 0.8750 0.2500
Li 0.8750 0.1250 0.7500
Be 0.0000 0.0000 0.0000
Be 0.0000 0.0000 0.5000
Be 0.0000 0.5000 0.0000
Be 0.5000 0.0000 0.5000

Values from the calculation:
As for the space group: I4_1/amd. The total moment comes out at 0.0 μB per formula unit. The energy of formation is 310 kJ/mol of formula units. The crystal system is tetragonal.

---

Entry 3:
Density functional theory data (PBE) for a relaxed Rb2LiBe2 crystal.

Cell lengths 7.6724, 7.6724, 7.6724 Å; angles 139.04, 139.04, 59.31 degrees
Fractional coordinates of all 5 atoms:
Rb 0.2500 0.7500 0.5000
Rb 0.7500 0.2500 0.5000
Li 0.0000 0.0000 0.0000
Be 0.4220 0.4220 0.0000
Be 0.5780 0.5780 0.0000

Values from the calculation:
As for the space group: I4/mmm. The total moment comes out at 0.0 μB per formula unit. The energy of formation is 489 kJ/mol of formula units. The crystal system is tetragonal.

---

Entry 4:
Density functional theory data (PBE) for a relaxed RbLiBe3 crystal.

Cell lengths 5.8729, 5.8729, 5.8729 Å; angles 90.00, 90.00, 90.00 degrees
Fractional coordinates of all 5 atoms:
Rb 0.0000 0.0000 0.0000
Li 0.5000 0.5000 0.5000
Be 0.0000 0.0000 0.5000
Be 0.0000 0.5000 0.0000
Be 0.5000 0.0000 0.0000

Values from the calculation:
As for the space group: Pm-3m. The total moment comes out at 0.0 μB per formula unit. The energy of formation is 1031 kJ/mol of formula units. The crystal system is cubic.

---

Entry 5:
Density functional theory data (PBE) for a relaxed RbLiBeSe2 crystal.

Cell lengths 7.7680, 7.7680, 5.8399 Å; angles 90.00, 90.00, 131.77 degrees
Fractional coordinates of all 10 atoms:
Rb 0.2500 0.7500 0.7536
Rb 0.7500 0.2500 0.2464
Li 0.2500 0.2500 0.5000
Li 0.7500 0.7500 0.5000
Be 0.0000 0.0000 0.0000
Be 0.5000 0.5000 0.0000
Se 0.1020 0.8980 0.2447
Se 0.3980 0.6020 0.2447
Se 0.6020 0.3980 0.7553
Se 0.8980 0.1020 0.7553

Values from the calculation:
As for the space group: Cmme. The calculation puts the energy relative to the elements, uncorrected at -0.952 eV per atom. The total moment comes out at 0.0 μB per formula unit. The crystal system is orthorhombic.

---

Entry 6:
Density functional theory data (PBE) for a relaxed RbLi2BeSn crystal.

Cell lengths 5.4574, 5.4574, 4.6649 Å; angles 90.00, 90.00, 90.00 degrees
Fractional coordinates of all 5 atoms:
Rb 0.0000 0.0000 0.0000
Li 0.0000 0.5000 0.5000
Li 0.5000 0.0000 0.5000
Be 0.5000 0.5000 0.0000
Sn 0.5000 0.5000 0.5000

Values from the calculation:
As for the space group: P4/mmm. The total moment comes out at 0.0 μB per formula unit. The energy of formation is 77 kJ/mol of formula units. The crystal system is tetragonal.

---

Question: Which value of total moment does entry 4 give?
Answer: 0.0 μB per formula unit

---

Question: Number 2 is which compound?
Answer: RbLiBe2